Record 1
A plane-wave DFT calculation with PBE-GGA was carried out for a geometry-optimized Tb3Ho2In6 structure.

Structure (extended XYZ):
```
11
Lattice="-2.893 2.893 11.162 2.893 -2.893 11.162 2.893 2.893 -11.162" Properties=species:S:1:pos:R:3 pbc="T T T"
Tb 0.000 0.000 0.000
Tb 0.000 0.000 3.269
Tb 0.000 0.000 19.055
Ho 0.000 0.000 9.457
Ho 0.000 0.000 12.867
In 2.893 0.000 1.568
In 0.000 0.000 6.375
In 2.893 0.000 9.594
In 0.000 2.893 1.568
In 0.000 0.000 15.949
In 0.000 2.893 9.594
```

Calculated values
ΔH_f (0 K): 0.086 eV/atom
Uncorrected energy: -3.50 eV/atom
SG: I4/mmm (139)
Density of states at the Fermi level: 1.279 states/eV/atom
Total magnetization: 0.000 μB/f.u.

Record 2
A plane-wave DFT calculation with PBE-GGA was carried out for a geometry-optimized Tb5Ho2In5 structure.

Structure (extended XYZ):
```
12
Lattice="5.906 -2.562 0.000 5.906 2.562 0.000 -4.043 0.000 11.218" Properties=species:S:1:pos:R:3 pbc="T T T"
Tb 0.000 0.000 0.000
Tb -1.556 0.000 8.698
Tb -0.220 0.000 5.619
Tb 7.989 0.000 5.600
Tb 9.325 0.000 2.520
Ho 2.045 0.000 8.326
Ho 5.724 0.000 2.892
In 1.658 0.000 3.078
In 3.776 0.000 0.406
In 3.884 0.000 5.609
In 3.993 0.000 10.812
In 6.111 0.000 8.140
```

Calculated values
ΔH_f (0 K): -0.309 eV/atom
Uncorrected energy: -4.14 eV/atom
SG: C2/m (12)
Density of states at the Fermi level: 1.000 states/eV/atom
Total magnetization: 0.000 μB/f.u.

Record 3
A plane-wave DFT calculation with PBE-GGA was carried out for a geometry-optimized Tb12Ho3In structure.

Structure (extended XYZ):
```
16
Lattice="4.965 0.000 0.000 0.000 4.965 0.000 0.000 0.000 20.142" Properties=species:S:1:pos:R:3 pbc="T T T"
Tb 0.000 0.000 0.000
Tb 0.000 0.000 4.940
Tb 0.000 0.000 10.071
Tb 0.000 0.000 15.202
Tb 0.000 2.482 2.442
Tb 0.000 2.482 7.522
Tb 0.000 2.482 12.620
Tb 0.000 2.482 17.700
Tb 2.482 0.000 2.442
Tb 2.482 0.000 7.522
Tb 2.482 0.000 12.620
Tb 2.482 0.000 17.700
Ho 2.482 2.482 5.003
Ho 2.482 2.482 10.071
Ho 2.482 2.482 15.139
In 2.482 2.482 0.000
```

Calculated values
ΔH_f (0 K): -0.048 eV/atom
Uncorrected energy: -4.55 eV/atom
SG: P4/mmm (123)
Density of states at the Fermi level: 1.287 states/eV/atom
Total magnetization: 0.000 μB/f.u.

Record 4
A plane-wave DFT calculation with PBE-GGA was carried out for a geometry-optimized Tb5Ho2In4 structure.

Structure (extended XYZ):
```
11
Lattice="8.617 0.000 0.000 0.000 3.420 0.000 -1.090 0.000 10.478" Properties=species:S:1:pos:R:3 pbc="T T T"
Tb 0.000 0.000 0.000
Tb -0.050 0.000 3.488
Tb 1.981 0.000 8.975
Tb 5.547 0.000 1.503
Tb 7.577 0.000 6.990
Ho 3.192 0.000 3.782
Ho 4.335 0.000 6.697
In 1.563 1.710 6.036
In 2.461 1.710 1.242
In 5.067 1.710 9.237
In 5.964 1.710 4.442
```

Calculated values
ΔH_f (0 K): -0.254 eV/atom
Uncorrected energy: -4.19 eV/atom
SG: P2/m (10)
Density of states at the Fermi level: 1.128 states/eV/atom
Total magnetization: 0.006 μB/f.u.

Record 5
A plane-wave DFT calculation with PBE-GGA was carried out for a geometry-optimized TbHo2In9 structure.

Structure (extended XYZ):
```
12
Lattice="4.635 0.000 0.000 0.000 4.635 0.000 0.000 0.000 13.900" Properties=species:S:1:pos:R:3 pbc="T T T"
Tb 0.000 0.000 0.000
Ho 0.000 0.000 4.638
Ho 0.000 0.000 9.262
In 0.000 2.318 2.329
In 0.000 2.318 6.950
In 0.000 2.318 11.571
In 2.318 0.000 2.329
In 2.318 0.000 6.950
In 2.318 0.000 11.571
In 2.318 2.318 0.000
In 2.318 2.318 4.635
In 2.318 2.318 9.265
```

Calculated values
ΔH_f (0 K): -0.409 eV/atom
Uncorrected energy: -3.61 eV/atom
SG: P4/mmm (123)
Density of states at the Fermi level: 0.361 states/eV/atom
Total magnetization: 0.000 μB/f.u.

Record 6
A plane-wave DFT calculation with PBE-GGA was carried out for a geometry-optimized Tb9Ho4In11 structure.

Structure (extended XYZ):
```
24
Lattice="8.880 -10.551 0.000 8.880 10.551 0.000 0.000 0.000 3.471" Properties=species:S:1:pos:R:3 pbc="T T T"
Tb 0.000 0.000 0.000
Tb 6.823 5.479 0.000
Tb 6.754 1.866 0.000
Tb 10.936 5.479 0.000
Tb 6.754 -1.866 0.000
Tb 11.006 1.866 0.000
Tb 6.823 -5.479 0.000
Tb 11.006 -1.866 0.000
Tb 10.936 -5.479 0.000
Ho 2.721 1.756 0.000
Ho 2.721 -1.756 0.000
Ho 15.039 1.756 0.000
Ho 15.039 -1.756 0.000
In 4.575 3.728 1.736
In 8.880 7.671 1.736
In 4.742 0.000 1.736
In 8.880 3.592 1.736
In 4.575 -3.728 1.736
In 8.880 0.000 1.736
In 13.185 3.728 1.736
In 8.880 -3.592 1.736
In 13.018 0.000 1.736
In 8.880 -7.671 1.736
In 13.185 -3.728 1.736
```

Calculated values
ΔH_f (0 K): -0.390 eV/atom
Uncorrected energy: -4.14 eV/atom
SG: Cmmm (65)
Density of states at the Fermi level: 0.771 states/eV/atom
Total magnetization: 0.000 μB/f.u.

Record 7
A plane-wave DFT calculation with PBE-GGA was carried out for a geometry-optimized Tb6Ho3In structure.

Structure (extended XYZ):
```
20
Lattice="10.457 0.000 0.000 0.000 11.842 0.000 0.000 0.000 5.159" Properties=species:S:1:pos:R:3 pbc="T T T"
Tb 0.787 2.933 0.000
Tb 1.821 0.871 2.580
Tb 2.345 4.477 2.580
Tb 2.883 10.397 0.000
Tb 3.407 6.791 0.000
Tb 4.441 8.854 2.580
Tb 6.015 2.988 2.580
Tb 7.049 5.050 0.000
Tb 7.574 1.444 0.000
Tb 8.111 7.365 2.580
Tb 8.636 10.971 2.580
Tb 9.669 8.908 0.000
Ho 0.000 5.921 0.000
Ho 1.226 8.237 2.580
Ho 4.002 2.316 0.000
Ho 5.228 0.000 2.580
Ho 6.455 9.525 0.000
Ho 9.230 3.605 2.580
In 0.000 0.000 0.000
In 5.228 5.921 2.580
```

Calculated values
ΔH_f (0 K): 0.044 eV/atom
Uncorrected energy: -4.38 eV/atom
SG: Pnnm (58)
Density of states at the Fermi level: 1.351 states/eV/atom
Total magnetization: 0.000 μB/f.u.

Record 8
A plane-wave DFT calculation with PBE-GGA was carried out for a geometry-optimized Tb3Ho2In4 structure.

Structure (extended XYZ):
```
9
Lattice="5.280 0.000 0.000 -2.640 4.573 0.000 0.000 0.000 10.199" Properties=species:S:1:pos:R:3 pbc="T T T"
Tb 0.000 0.000 0.000
Tb 0.000 3.049 4.324
Tb 2.640 1.524 5.875
Ho 0.000 3.049 7.921
Ho 2.640 1.524 2.277
In 0.000 0.000 3.518
In 0.000 0.000 6.681
In 0.000 3.049 1.022
In 2.640 1.524 9.177
```

Calculated values
ΔH_f (0 K): -0.412 eV/atom
Uncorrected energy: -4.19 eV/atom
SG: P-3m1 (164)
Density of states at the Fermi level: 0.840 states/eV/atom
Total magnetization: 0.000 μB/f.u.

Record 9
A plane-wave DFT calculation with PBE-GGA was carried out for a geometry-optimized TbHo6In4 structure.

Structure (extended XYZ):
```
11
Lattice="-3.851 3.851 5.823 3.851 -3.851 5.823 3.851 3.851 -5.823" Properties=species:S:1:pos:R:3 pbc="T T T"
Tb 0.000 0.000 0.000
Ho 3.851 0.000 0.000
Ho 2.412 2.412 -2.500
Ho 1.439 1.439 3.322
Ho 0.000 3.851 0.000
Ho 1.439 -1.439 8.323
Ho -1.439 1.439 8.323
In 1.301 -1.301 5.045
In 2.550 2.550 0.778
In -1.301 1.301 5.045
In 1.301 1.301 6.601
```

Calculated values
ΔH_f (0 K): -0.092 eV/atom
Uncorrected energy: -4.01 eV/atom
SG: I-42m (121)
Density of states at the Fermi level: 1.230 states/eV/atom
Total magnetization: 0.747 μB/f.u.

Record 10
A plane-wave DFT calculation with PBE-GGA was carried out for a geometry-optimized Tb2Ho2In7 structure.

Structure (extended XYZ):
```
11
Lattice="4.280 -5.362 0.000 4.280 5.362 0.000 0.000 0.000 7.412" Properties=species:S:1:pos:R:3 pbc="T T T"
Tb 1.574 0.000 0.000
Tb 6.985 0.000 0.000
Ho 4.280 2.155 3.706
Ho 4.280 -2.155 3.706
In 0.000 0.000 3.706
In 2.140 2.681 1.516
In 2.140 2.681 5.896
In 2.140 -2.681 1.516
In 2.140 -2.681 5.896
In 4.280 0.000 1.490
In 4.280 0.000 5.922
```

Calculated values
ΔH_f (0 K): 0.024 eV/atom
Uncorrected energy: -3.39 eV/atom
SG: Cmmm (65)
Density of states at the Fermi level: 0.709 states/eV/atom
Total magnetization: 0.000 μB/f.u.

Record 11
A plane-wave DFT calculation with PBE-GGA was carried out for a geometry-optimized Tb5HoIn6 structure.

Structure (extended XYZ):
```
12
Lattice="2.668 -8.007 0.000 2.668 8.007 0.000 0.000 0.000 7.513" Properties=species:S:1:pos:R:3 pbc="T T T"
Tb 0.000 0.000 0.000
Tb 2.668 2.679 0.000
Tb 2.668 2.665 3.757
Tb 2.668 -2.665 3.757
Tb 2.668 -2.679 0.000
Ho 0.000 0.000 3.757
In 2.668 5.348 1.886
In 2.668 5.348 5.627
In 2.668 0.000 1.883
In 2.668 0.000 5.630
In 2.668 -5.348 1.886
In 2.668 -5.348 5.627
```

Calculated values
ΔH_f (0 K): -0.474 eV/atom
Uncorrected energy: -4.15 eV/atom
SG: Cmmm (65)
Density of states at the Fermi level: 0.457 states/eV/atom
Total magnetization: 0.000 μB/f.u.

Record 12
A plane-wave DFT calculation with PBE-GGA was carried out for a geometry-optimized Tb5Ho2In4 structure.

Structure (extended XYZ):
```
11
Lattice="-2.624 5.198 6.555 2.624 -5.198 6.555 2.624 5.198 -6.555" Properties=species:S:1:pos:R:3 pbc="T T T"
Tb 0.000 0.000 0.000
Tb 2.624 3.563 -2.950
Tb 0.000 1.636 3.605
Tb 2.624 3.563 2.950
Tb 0.000 1.636 9.506
Ho 2.624 0.000 2.203
Ho 0.000 5.198 4.353
In 2.624 2.214 0.000
In 2.624 0.000 5.143
In 0.000 5.198 1.412
In 0.000 2.984 6.555
```

Calculated values
ΔH_f (0 K): 0.072 eV/atom
Uncorrected energy: -3.86 eV/atom
SG: Immm (71)
Density of states at the Fermi level: 1.106 states/eV/atom
Total magnetization: 0.000 μB/f.u.

Record 13
A plane-wave DFT calculation with PBE-GGA was carried out for a geometry-optimized Tb2Ho2In5 structure.

Structure (extended XYZ):
```
18
Lattice="-7.152 3.534 5.010 7.152 -3.534 5.010 7.152 3.534 -5.010" Properties=species:S:1:pos:R:3 pbc="T T T"
Tb 1.821 0.206 0.000
Tb 5.330 0.206 0.000
Tb 1.821 3.327 5.010
Tb 5.330 3.327 5.010
Ho 3.576 -0.058 4.394
Ho 3.576 3.591 -0.616
Ho 0.000 3.534 0.639
Ho 0.000 0.000 5.649
In 6.456 2.204 -2.134
In 7.847 -1.329 2.876
In 0.696 1.329 2.876
In 6.456 1.329 2.876
In -2.146 2.013 2.272
In 9.297 2.013 2.272
In 3.576 2.183 2.166
In 3.576 1.351 7.176
In 2.146 5.054 2.272
In -2.146 1.520 7.282
```

Calculated values
ΔH_f (0 K): -0.253 eV/atom
Uncorrected energy: -3.82 eV/atom
SG: Ima2 (46)
Density of states at the Fermi level: 0.826 states/eV/atom
Total magnetization: 0.001 μB/f.u.

Record 14
A plane-wave DFT calculation with PBE-GGA was carried out for a geometry-optimized TbHo4In structure.

Structure (extended XYZ):
```
12
Lattice="5.207 -3.016 0.000 5.207 3.016 0.000 -3.417 0.000 11.204" Properties=species:S:1:pos:R:3 pbc="T T T"
Tb 2.604 1.508 0.000
Tb 0.895 -1.508 5.602
Ho 2.666 1.564 5.611
Ho 0.908 0.480 8.402
Ho 2.623 1.564 11.196
Ho 2.616 -0.480 2.800
Ho 4.382 0.480 8.405
Ho 4.375 -1.564 0.009
Ho 6.090 -0.480 2.802
Ho 4.332 -1.564 5.594
In 4.353 2.511 2.801
In 2.645 -2.511 8.403
```

Calculated values
ΔH_f (0 K): -0.118 eV/atom
Uncorrected energy: -4.40 eV/atom
SG: C2/c (15)
Density of states at the Fermi level: 1.302 states/eV/atom
Total magnetization: 0.000 μB/f.u.

Record 15
A plane-wave DFT calculation with PBE-GGA was carried out for a geometry-optimized Tb3Ho2In2 structure.

Structure (extended XYZ):
```
7
Lattice="2.465 -11.785 0.000 2.465 11.785 0.000 0.000 0.000 3.451" Properties=species:S:1:pos:R:3 pbc="T T T"
Tb 0.000 0.000 0.000
Tb 2.465 8.413 0.000
Tb 2.465 -8.413 0.000
Ho 2.465 5.042 1.726
Ho 2.465 -5.042 1.726
In 2.465 1.681 1.726
In 2.465 -1.681 1.726
```

Calculated values
ΔH_f (0 K): -0.159 eV/atom
Uncorrected energy: -4.23 eV/atom
SG: Cmmm (65)
Density of states at the Fermi level: 0.988 states/eV/atom
Total magnetization: 0.449 μB/f.u.

Record 16
A plane-wave DFT calculation with PBE-GGA was carried out for a geometry-optimized TbHo2In2 structure.

Structure (extended XYZ):
```
10
Lattice="5.143 0.000 0.000 -2.571 4.454 0.000 0.000 0.000 12.768" Properties=species:S:1:pos:R:3 pbc="T T T"
Tb 0.000 0.000 3.192
Tb 0.000 0.000 9.576
Ho 0.000 0.000 0.000
Ho 0.000 0.000 6.384
Ho 0.000 2.969 3.192
Ho 2.571 1.485 9.576
In 0.000 2.969 8.042
In 0.000 2.969 11.111
In 2.571 1.485 1.658
In 2.571 1.485 4.726
```

Calculated values
ΔH_f (0 K): -0.044 eV/atom
Uncorrected energy: -3.90 eV/atom
SG: P6_3/mmc (194)
Density of states at the Fermi level: 0.757 states/eV/atom
Total magnetization: 0.001 μB/f.u.

Record 17
A plane-wave DFT calculation with PBE-GGA was carried out for a geometry-optimized Tb3Ho2In3 structure.

Structure (extended XYZ):
```
8
Lattice="-1.883 2.671 11.155 1.883 -2.671 11.155 1.883 2.671 -11.155" Properties=species:S:1:pos:R:3 pbc="T T T"
Tb 0.000 0.000 0.000
Tb 1.883 0.000 8.376
Tb 0.000 2.671 2.779
Ho 0.000 0.000 5.242
Ho 0.000 0.000 17.069
In 1.883 0.000 2.673
In 0.000 0.000 11.155
In 0.000 2.671 8.482
```

Calculated values
ΔH_f (0 K): -0.367 eV/atom
Uncorrected energy: -4.27 eV/atom
SG: Immm (71)
Density of states at the Fermi level: 0.811 states/eV/atom
Total magnetization: 0.000 μB/f.u.

Record 18
A plane-wave DFT calculation with PBE-GGA was carried out for a geometry-optimized Tb4Ho2In structure.

Structure (extended XYZ):
```
7
Lattice="1.805 1.042 19.271 -1.805 1.042 19.271 0.000 -2.084 19.271" Properties=species:S:1:pos:R:3 pbc="T T T"
Tb 0.000 0.000 5.415
Tb 0.000 0.000 16.747
Tb 0.000 0.000 41.067
Tb 0.000 0.000 52.399
Ho 0.000 0.000 11.033
Ho 0.000 0.000 46.782
In 0.000 0.000 0.000
```

Calculated values
ΔH_f (0 K): -0.078 eV/atom
Uncorrected energy: -4.42 eV/atom
SG: R-3m (166)
Density of states at the Fermi level: 1.545 states/eV/atom
Total magnetization: 0.020 μB/f.u.

Record 19
A plane-wave DFT calculation with PBE-GGA was carried out for a geometry-optimized Tb9Ho2In structure.

Structure (extended XYZ):
```
12
Lattice="4.947 0.000 0.000 0.000 4.947 0.000 0.000 0.000 15.107" Properties=species:S:1:pos:R:3 pbc="T T T"
Tb 0.000 0.000 0.000
Tb 0.000 0.000 4.974
Tb 0.000 0.000 10.133
Tb 0.000 2.473 2.447
Tb 0.000 2.473 7.553
Tb 0.000 2.473 12.660
Tb 2.473 0.000 2.447
Tb 2.473 0.000 7.553
Tb 2.473 0.000 12.660
Ho 2.473 2.473 5.018
Ho 2.473 2.473 10.089
In 2.473 2.473 0.000
```

Calculated values
ΔH_f (0 K): -0.070 eV/atom
Uncorrected energy: -4.53 eV/atom
SG: P4/mmm (123)
Density of states at the Fermi level: 1.260 states/eV/atom
Total magnetization: 0.002 μB/f.u.

Record 20
A plane-wave DFT calculation with PBE-GGA was carried out for a geometry-optimized Tb2Ho2In structure.

Structure (extended XYZ):
```
10
Lattice="8.200 0.000 0.000 0.000 8.200 0.000 0.000 0.000 4.576" Properties=species:S:1:pos:R:3 pbc="T T T"
Tb 1.217 2.883 0.000
Tb 2.883 6.984 0.000
Tb 5.317 1.217 0.000
Tb 6.984 5.317 0.000
Ho 1.247 5.348 2.288
Ho 2.853 1.247 2.288
Ho 5.348 6.953 2.288
Ho 6.953 2.853 2.288
In 0.000 0.000 0.000
In 4.100 4.100 0.000
```

Calculated values
ΔH_f (0 K): 0.030 eV/atom
Uncorrected energy: -4.20 eV/atom
SG: P4/mbm (127)
Density of states at the Fermi level: 1.039 states/eV/atom
Total magnetization: 0.000 μB/f.u.